Entry 1:
# GGA-PBE TaCr2Pb, optimized geometry
# * crystal system: monoclinic
data_TaCr2Pb
_chemical_formula_sum 'Ta2 Cr4 Pb2'
_cell_length_a 8.698
_cell_length_b 3.089
_cell_length_c 5.268
_cell_angle_alpha 90.00
_cell_angle_beta 100.96
_cell_angle_gamma 90.00
_space_group_name_H-M_alt 'C 1 2/m 1'
_space_group_IT_number 12
loop_
_space_group_symop_operation_xyz
'x,y,z'
'-x,-y,-z'
'-x,y,-z'
'x,-y,z'
'x+1/2,y+1/2,z'
'-x+1/2,-y+1/2,-z'
'-x+1/2,y+1/2,-z'
'x+1/2,-y+1/2,z'
loop_
_atom_site_label
_atom_site_type_symbol
_atom_site_fract_x
_atom_site_fract_y
_atom_site_fract_z
Ta1 Ta 0.000 0.000 0.000
Cr1 Cr 0.243 0.500 0.213
Pb1 Pb 0.000 0.500 0.500

***

Entry 2:
# GGA-PBE TaCrPb, optimized geometry
# * crystal system: trigonal
data_TaCrPb
_chemical_formula_sum 'Ta1 Cr1 Pb1'
_cell_length_a 4.5911
_cell_length_b 4.5911
_cell_length_c 3.0285
_cell_angle_alpha 90.00
_cell_angle_beta 90.00
_cell_angle_gamma 120.00
_space_group_name_H-M_alt 'P 3 m 1'
_space_group_IT_number 156
loop_
_space_group_symop_operation_xyz
'x,y,z'
'-y,x-y,z'
'-x+y,-x,z'
'-y,-x,z'
'-x+y,y,z'
'x,x-y,z'
loop_
_atom_site_label
_atom_site_type_symbol
_atom_site_fract_x
_atom_site_fract_y
_atom_site_fract_z
Ta1 Ta 0.0000 0.0000 0.0000
Cr1 Cr 0.6667 0.3333 0.3055
Pb1 Pb 0.3333 0.6667 0.5344

***

Entry 3:
# GGA-PBE TaCr2Pb, optimized geometry
# * crystal system: monoclinic
data_TaCr2Pb
_chemical_formula_sum 'Ta2 Cr4 Pb2'
_cell_length_a 5.749
_cell_length_b 8.659
_cell_length_c 2.902
_cell_angle_alpha 90.00
_cell_angle_beta 112.33
_cell_angle_gamma 90.00
_space_group_name_H-M_alt 'C 1 2/m 1'
_space_group_IT_number 12
loop_
_space_group_symop_operation_xyz
'x,y,z'
'-x,-y,-z'
'-x,y,-z'
'x,-y,z'
'x+1/2,y+1/2,z'
'-x+1/2,-y+1/2,-z'
'-x+1/2,y+1/2,-z'
'x+1/2,-y+1/2,z'
loop_
_atom_site_label
_atom_site_type_symbol
_atom_site_fract_x
_atom_site_fract_y
_atom_site_fract_z
Ta1 Ta 0.000 0.000 0.000
Cr1 Cr 0.250 0.250 0.500
Pb1 Pb 0.000 0.500 0.000

***

Entry 4:
# GGA-PBE TaCrPb2, optimized geometry
# * crystal system: monoclinic
data_TaCrPb2
_chemical_formula_sum 'Ta2 Cr2 Pb4'
_cell_length_a 9.805
_cell_length_b 3.175
_cell_length_c 5.732
_cell_angle_alpha 90.00
_cell_angle_beta 102.18
_cell_angle_gamma 90.00
_space_group_name_H-M_alt 'C 1 2/m 1'
_space_group_IT_number 12
loop_
_space_group_symop_operation_xyz
'x,y,z'
'-x,-y,-z'
'-x,y,-z'
'x,-y,z'
'x+1/2,y+1/2,z'
'-x+1/2,-y+1/2,-z'
'-x+1/2,y+1/2,-z'
'x+1/2,-y+1/2,z'
loop_
_atom_site_label
_atom_site_type_symbol
_atom_site_fract_x
_atom_site_fract_y
_atom_site_fract_z
Ta1 Ta 0.000 0.000 0.000
Cr1 Cr 0.000 0.500 0.500
Pb1 Pb 0.248 0.000 0.752

***

Entry 5:
# GGA-PBE TaCr2Pb, optimized geometry
# * crystal system: orthorhombic
data_TaCr2Pb
_chemical_formula_sum 'Ta2 Cr4 Pb2'
_cell_length_a 3.245
_cell_length_b 4.430
_cell_length_c 9.012
_cell_angle_alpha 90.00
_cell_angle_beta 90.00
_cell_angle_gamma 90.00
_space_group_name_H-M_alt 'I m m 2'
_space_group_IT_number 44
loop_
_space_group_symop_operation_xyz
'x,y,z'
'-x,-y,z'
'-x,y,z'
'x,-y,z'
'x+1/2,y+1/2,z+1/2'
'-x+1/2,-y+1/2,z+1/2'
'-x+1/2,y+1/2,z+1/2'
'x+1/2,-y+1/2,z+1/2'
loop_
_atom_site_label
_atom_site_type_symbol
_atom_site_fract_x
_atom_site_fract_y
_atom_site_fract_z
Ta1 Ta 0.000 0.000 0.000
Cr1 Cr 0.000 0.000 0.468
Cr2 Cr 0.000 0.500 0.751
Pb1 Pb 0.000 0.500 0.226

***

Entry 6:
# GGA-PBE TaCrPb2, optimized geometry
# * crystal system: orthorhombic
data_TaCrPb2
_chemical_formula_sum 'Ta2 Cr2 Pb4'
_cell_length_a 3.267
_cell_length_b 5.512
_cell_length_c 9.601
_cell_angle_alpha 90.00
_cell_angle_beta 90.00
_cell_angle_gamma 90.00
_space_group_name_H-M_alt 'I m m m'
_space_group_IT_number 71
_space_group_name_Hall '-I 2 2'
loop_
_atom_site_label
_atom_site_type_symbol
_atom_site_fract_x
_atom_site_fract_y
_atom_site_fract_z
Ta1 Ta 0.000 0.000 0.000
Cr1 Cr 0.000 0.000 0.500
Pb1 Pb 0.000 0.500 0.238

***

Entry 7:
# GGA-PBE TaCr2Pb, optimized geometry
# * crystal system: monoclinic
data_TaCr2Pb
_chemical_formula_sum 'Ta1 Cr2 Pb1'
_cell_length_a 3.040
_cell_length_b 3.834
_cell_length_c 5.921
_cell_angle_alpha 90.00
_cell_angle_beta 96.52
_cell_angle_gamma 90.00
_space_group_name_H-M_alt 'P 1 m 1'
_space_group_IT_number 6
loop_
_space_group_symop_operation_xyz
'x,y,z'
'x,-y,z'
loop_
_atom_site_label
_atom_site_type_symbol
_atom_site_fract_x
_atom_site_fract_y
_atom_site_fract_z
Ta1 Ta 0.000 0.000 0.000
Cr1 Cr 0.463 0.500 0.208
Cr2 Cr 0.796 0.000 0.377
Pb1 Pb 0.398 0.500 0.677

***

Entry 8:
# GGA-PBE TaCrPb, optimized geometry
# * crystal system: tetragonal
data_TaCrPb
_chemical_formula_sum 'Ta2 Cr2 Pb2'
_cell_length_a 3.312
_cell_length_b 3.312
_cell_length_c 10.191
_cell_angle_alpha 90.00
_cell_angle_beta 90.00
_cell_angle_gamma 90.00
_space_group_name_H-M_alt 'I 4 m m'
_space_group_IT_number 107
_space_group_name_Hall 'I 4 -2'
loop_
_atom_site_label
_atom_site_type_symbol
_atom_site_fract_x
_atom_site_fract_y
_atom_site_fract_z
Ta1 Ta 0.000 0.000 0.000
Cr1 Cr 0.000 0.000 0.379
Pb1 Pb 0.000 0.000 0.699

***

Entry 9:
# GGA-PBE TaCrPb, optimized geometry
# * crystal system: orthorhombic
data_TaCrPb
_chemical_formula_sum 'Ta4 Cr4 Pb4'
_cell_length_a 3.370
_cell_length_b 5.110
_cell_length_c 13.401
_cell_angle_alpha 90.00
_cell_angle_beta 90.00
_cell_angle_gamma 90.00
_space_group_name_H-M_alt 'F m m 2'
_space_group_IT_number 42
_space_group_name_Hall 'F 2 -2'
loop_
_atom_site_label
_atom_site_type_symbol
_atom_site_fract_x
_atom_site_fract_y
_atom_site_fract_z
Ta1 Ta 0.000 0.000 0.000
Cr1 Cr 0.000 0.000 0.636
Pb1 Pb 0.000 0.000 0.307

***

Entry 10:
# GGA-PBE TaCrPb2, optimized geometry
# * crystal system: tetragonal
data_TaCrPb2
_chemical_formula_sum 'Ta1 Cr1 Pb2'
_cell_length_a 4.841
_cell_length_b 4.841
_cell_length_c 3.657
_cell_angle_alpha 90.00
_cell_angle_beta 90.00
_cell_angle_gamma 90.00
_space_group_name_H-M_alt 'P 4/m m m'
_space_group_IT_number 123
_space_group_name_Hall '-P 4 2'
loop_
_atom_site_label
_atom_site_type_symbol
_atom_site_fract_x
_atom_site_fract_y
_atom_site_fract_z
Ta1 Ta 0.000 0.000 0.000
Cr1 Cr 0.500 0.500 0.000
Pb1 Pb 0.000 0.500 0.500

***

Entry 11:
# GGA-PBE Ta2CrPb2, optimized geometry
# * crystal system: tetragonal
data_Ta2CrPb2
_chemical_formula_sum 'Ta4 Cr2 Pb4'
_cell_length_a 3.957
_cell_length_b 3.957
_cell_length_c 14.560
_cell_angle_alpha 90.00
_cell_angle_beta 90.00
_cell_angle_gamma 90.00
_space_group_name_H-M_alt 'I 4/m m m'
_space_group_IT_number 139
_space_group_name_Hall '-I 4 2'
loop_
_atom_site_label
_atom_site_type_symbol
_atom_site_fract_x
_atom_site_fract_y
_atom_site_fract_z
Ta1 Ta 0.000 0.000 0.086
Cr1 Cr 0.000 0.000 0.500
Pb1 Pb 0.000 0.500 0.250

***

Entry 12:
# GGA-PBE TaCrPb2, optimized geometry
# * crystal system: monoclinic
data_TaCrPb2
_chemical_formula_sum 'Ta1 Cr1 Pb2'
_cell_length_a 3.291
_cell_length_b 4.766
_cell_length_c 5.870
_cell_angle_alpha 90.00
_cell_angle_beta 105.83
_cell_angle_gamma 90.00
_space_group_name_H-M_alt 'P 1 m 1'
_space_group_IT_number 6
loop_
_space_group_symop_operation_xyz
'x,y,z'
'x,-y,z'
loop_
_atom_site_label
_atom_site_type_symbol
_atom_site_fract_x
_atom_site_fract_y
_atom_site_fract_z
Ta1 Ta 0.000 0.000 0.000
Cr1 Cr 0.155 0.500 0.240
Pb1 Pb 0.415 0.500 0.793
Pb2 Pb 0.745 0.000 0.449

***

Entry 13:
# GGA-PBE TaCrPb4, optimized geometry
# * crystal system: cubic
data_TaCrPb4
_chemical_formula_sum 'Ta4 Cr4 Pb16'
_cell_length_a 8.822
_cell_length_b 8.822
_cell_length_c 8.822
_cell_angle_alpha 90.00
_cell_angle_beta 90.00
_cell_angle_gamma 90.00
_space_group_name_H-M_alt 'F -4 3 m'
_space_group_IT_number 216
_space_group_name_Hall 'F -4 2 3'
loop_
_atom_site_label
_atom_site_type_symbol
_atom_site_fract_x
_atom_site_fract_y
_atom_site_fract_z
Ta1 Ta 0.000 0.000 0.000
Cr1 Cr 0.250 0.250 0.750
Pb1 Pb 0.125 0.125 0.375

***

Entry 14:
# GGA-PBE TaCrPb2, optimized geometry
# * crystal system: orthorhombic
data_TaCrPb2
_chemical_formula_sum 'Ta1 Cr1 Pb2'
_cell_length_a 3.222
_cell_length_b 4.027
_cell_length_c 6.678
_cell_angle_alpha 90.00
_cell_angle_beta 90.00
_cell_angle_gamma 90.00
_space_group_name_H-M_alt 'P m m m'
_space_group_IT_number 47
loop_
_space_group_symop_operation_xyz
'x,y,z'
'-x,-y,-z'
'-x,-y,z'
'x,y,-z'
'x,-y,-z'
'-x,y,z'
'-x,y,-z'
'x,-y,z'
loop_
_atom_site_label
_atom_site_type_symbol
_atom_site_fract_x
_atom_site_fract_y
_atom_site_fract_z
Ta1 Ta 0.000 0.000 0.000
Cr1 Cr 0.000 0.000 0.500
Pb1 Pb 0.500 0.500 0.250

***

Entry 15:
# GGA-PBE TaCr2Pb, optimized geometry
# * crystal system: monoclinic
data_TaCr2Pb
_chemical_formula_sum 'Ta1 Cr2 Pb1'
_cell_length_a 4.834
_cell_length_b 3.075
_cell_length_c 5.057
_cell_angle_alpha 90.00
_cell_angle_beta 110.15
_cell_angle_gamma 90.00
_space_group_name_H-M_alt 'P 1 2/m 1'
_space_group_IT_number 10
loop_
_space_group_symop_operation_xyz
'x,y,z'
'-x,-y,-z'
'-x,y,-z'
'x,-y,z'
loop_
_atom_site_label
_atom_site_type_symbol
_atom_site_fract_x
_atom_site_fract_y
_atom_site_fract_z
Ta1 Ta 0.000 0.000 0.000
Cr1 Cr 0.500 0.000 0.500
Cr2 Cr 0.500 0.500 0.000
Pb1 Pb 0.000 0.500 0.500

***

Entry 16:
# GGA-PBE TaCrPb2, optimized geometry
# * crystal system: cubic
data_TaCrPb2
_chemical_formula_sum 'Ta4 Cr4 Pb8'
_cell_length_a 6.831
_cell_length_b 6.831
_cell_length_c 6.831
_cell_angle_alpha 90.00
_cell_angle_beta 90.00
_cell_angle_gamma 90.00
_space_group_name_H-M_alt 'F m -3 m'
_space_group_IT_number 225
_space_group_name_Hall '-F 4 2 3'
loop_
_atom_site_label
_atom_site_type_symbol
_atom_site_fract_x
_atom_site_fract_y
_atom_site_fract_z
Ta1 Ta 0.000 0.000 0.000
Cr1 Cr 0.000 0.000 0.500
Pb1 Pb 0.250 0.250 0.250

***

Entry 17:
# GGA-PBE TaCrPb2, optimized geometry
# * crystal system: trigonal
data_TaCrPb2
_chemical_formula_sum 'Ta3 Cr3 Pb6'
_cell_length_a 3.3037
_cell_length_b 3.3037
_cell_length_c 28.3596
_cell_angle_alpha 90.00
_cell_angle_beta 90.00
_cell_angle_gamma 120.00
_space_group_name_H-M_alt 'R -3 m'
_space_group_IT_number 166
_space_group_name_Hall '-R 3 2"'
loop_
_atom_site_label
_atom_site_type_symbol
_atom_site_fract_x
_atom_site_fract_y
_atom_site_fract_z
Ta1 Ta 0.0000 0.0000 0.0000
Cr1 Cr 0.0000 0.0000 0.5000
Pb1 Pb 0.0000 0.0000 0.2494

***

Entry 18:
# GGA-PBE TaCr2Pb, optimized geometry
# * crystal system: tetragonal
data_TaCr2Pb
_chemical_formula_sum 'Ta1 Cr2 Pb1'
_cell_length_a 3.265
_cell_length_b 3.265
_cell_length_c 6.273
_cell_angle_alpha 90.00
_cell_angle_beta 90.00
_cell_angle_gamma 90.00
_space_group_name_H-M_alt 'P 4/m m m'
_space_group_IT_number 123
_space_group_name_Hall '-P 4 2'
loop_
_atom_site_label
_atom_site_type_symbol
_atom_site_fract_x
_atom_site_fract_y
_atom_site_fract_z
Ta1 Ta 0.000 0.000 0.000
Cr1 Cr 0.500 0.500 0.225
Pb1 Pb 0.000 0.000 0.500

***

Entry 19:
# GGA-PBE TaCrPb2, optimized geometry
# * crystal system: trigonal
data_TaCrPb2
_chemical_formula_sum 'Ta3 Cr3 Pb6'
_cell_length_a 3.2701
_cell_length_b 3.2701
_cell_length_c 28.7355
_cell_angle_alpha 90.00
_cell_angle_beta 90.00
_cell_angle_gamma 120.00
_space_group_name_H-M_alt 'R 3 m'
_space_group_IT_number 160
_space_group_name_Hall 'R 3 -2"'
loop_
_atom_site_label
_atom_site_type_symbol
_atom_site_fract_x
_atom_site_fract_y
_atom_site_fract_z
Ta1 Ta 0.0000 0.0000 0.0000
Cr1 Cr 0.0000 0.0000 0.7243
Pb1 Pb 0.0000 0.0000 0.2422
Pb2 Pb 0.0000 0.0000 0.4695

***

Entry 20:
# GGA-PBE TaCrPb, optimized geometry
# * crystal system: cubic
data_TaCrPb
_chemical_formula_sum 'Ta4 Cr4 Pb4'
_cell_length_a 6.266
_cell_length_b 6.266
_cell_length_c 6.266
_cell_angle_alpha 90.00
_cell_angle_beta 90.00
_cell_angle_gamma 90.00
_space_group_name_H-M_alt 'F -4 3 m'
_space_group_IT_number 216
_space_group_name_Hall 'F -4 2 3'
loop_
_atom_site_label
_atom_site_type_symbol
_atom_site_fract_x
_atom_site_fract_y
_atom_site_fract_z
Ta1 Ta 0.000 0.000 0.000
Cr1 Cr 0.250 0.250 0.250
Pb1 Pb 0.000 0.000 0.500

***

Number 1: formation energy 663 meV per atom, total magnetic moment 0.811 μB per atom. Number 2: formation energy 687 meV per atom, total magnetic moment 0.456 μB per atom. Number 3: formation energy 763 meV per atom, total magnetic moment 0.384 μB per atom. Number 4: formation energy 722 meV per atom, total magnetic moment 0.852 μB per atom. Number 5: formation energy 510 meV per atom, total magnetic moment 0.270 μB per atom. Number 6: formation energy 746 meV per atom, total magnetic moment 0.686 μB per atom. Number 7: formation energy 527 meV per atom, total magnetic moment 0.000 μB per atom. Number 8: formation energy 544 meV per atom, total magnetic moment 0.399 μB per atom. Number 9: formation energy 595 meV per atom, total magnetic moment 0.285 μB per atom. Number 10: formation energy 741 meV per atom, total magnetic moment 0.930 μB per atom. Number 11: formation energy 1391 meV per atom, total magnetic moment 0.000 μB per atom. Number 12: formation energy 655 meV per atom, total magnetic moment 0.755 μB per atom. Number 13: formation energy 1138 meV per atom, total magnetic moment 0.399 μB per atom. Number 14: formation energy 732 meV per atom, total magnetic moment 0.968 μB per atom. Number 15: formation energy 665 meV per atom, total magnetic moment 0.152 μB per atom. Number 16: formation energy 961 meV per atom, total magnetic moment 0.000 μB per atom. Number 17: formation energy 690 meV per atom, total magnetic moment 1.160 μB per atom. Number 18: formation energy 380 meV per atom, total magnetic moment 0.747 μB per atom. Number 19: formation energy 476 meV per atom, total magnetic moment 0.000 μB per atom. Number 20: formation energy 845 meV per atom, total magnetic moment 0.190 μB per atom.